[1]
Below is a geometry-optimized BeSiNi2 structure, with properties calculated at the PBEsol level.

Cell and atoms, written as CIF:
```
data_BeSiNi2
_symmetry_space_group_name_H-M 'P 4/m m m'
_symmetry_Int_Tables_number 123
_symmetry_space_group_name_Hall '-P 4 2'
_cell_length_a 2.733
_cell_length_b 2.733
_cell_length_c 5.240
_cell_angle_alpha 90.00
_cell_angle_beta 90.00
_cell_angle_gamma 90.00
loop_
_atom_site_label
_atom_site_fract_x
_atom_site_fract_y
_atom_site_fract_z
Be1 0.000 0.000 0.000
Si1 0.000 0.000 0.500
Ni1 0.500 0.500 0.246
```

## Properties
* crystal system: tetragonal

=====

[2]
Below is a geometry-optimized BeSiNi structure, with properties calculated at the PBEsol level.

Cell and atoms, written as CIF:
```
data_BeSiNi
_symmetry_space_group_name_H-M 'I 4 m m'
_symmetry_Int_Tables_number 107
_symmetry_space_group_name_Hall 'I 4 -2'
_cell_length_a 2.937
_cell_length_b 2.937
_cell_length_c 7.049
_cell_angle_alpha 90.00
_cell_angle_beta 90.00
_cell_angle_gamma 90.00
loop_
_atom_site_label
_atom_site_fract_x
_atom_site_fract_y
_atom_site_fract_z
Be1 0.000 0.000 0.000
Si1 0.000 0.000 0.326
Ni1 0.000 0.000 0.659
```

## Properties
* crystal system: tetragonal

=====

| no. | energy (eV/atom) | magnetization (Bohr magnetons per cell) | E_form (uncorrected) (eV/atom) |
| --- | --- | --- | --- |
| 1 | -6.03 | 0.00 | -0.510 |
| 2 | -5.67 | 0.00 | -0.372 |